AlFe4Rh: relaxed, GGA-PBE. Values from VASP.

E = -0.2787 Ha/atom
total magnetic moment = 8.4 μB per formula unit
symmetry = No. 216
energy of formation from the pure elements = -0.093 eV/atom
theoretical density = 7.89 g/cm³
distance to the lowest polymorph of the same formula = 42.5 meV per atom

Cell and atoms, written as Quantum ESPRESSO input:
```
&SYSTEM
  ibrav = 0, nat = 6, ntyp = 3
/
ATOMIC_SPECIES
Al 26.98 Al.upf
Fe 55.84 Fe.upf
Rh 102.91 Rh.upf
ATOMIC_POSITIONS angstrom
Al 0.000 0.000 0.000
Fe 2.502 4.172 4.172
Fe 4.172 4.172 2.502
Fe 4.172 2.502 4.172
Fe 2.502 2.502 2.502
Rh 5.006 5.006 5.006
CELL_PARAMETERS angstrom
0.000 3.337 3.337
3.337 0.000 3.337
3.337 3.337 0.000
```

=====

Li3ThNp2Te6: relaxed, GGA-PBE. Values from VASP.

E = -0.2103 Ha/atom
total magnetic moment = 9.0 μB per formula unit
symmetry = No. 12
theoretical density = 6.99 g/cm³

Cell and atoms, written as Quantum ESPRESSO input:
```
&SYSTEM
  ibrav = 0, nat = 12, ntyp = 4
/
ATOMIC_SPECIES
Li 6.94 Li.upf
Th 232.04 Th.upf
Np 237.00 Np.upf
Te 127.60 Te.upf
ATOMIC_POSITIONS angstrom
Li -2.540 4.387 3.559
Li 5.069 -0.008 3.559
Li 1.264 2.189 3.559
Th 0.000 0.000 0.000
Np 0.001 4.379 0.001
Np 3.792 2.189 0.001
Te 3.798 2.180 5.251
Te 2.523 4.369 1.870
Te -1.269 2.199 1.868
Te -0.010 4.379 5.251
Te 0.006 0.010 5.248
Te 2.539 0.000 1.868
CELL_PARAMETERS angstrom
7.583 0.000 0.001
-3.790 6.568 0.001
-1.264 -2.189 7.116
```

=====

Na12In7Pd: relaxed, GGA-PBE. Values from VASP.

E = -0.0776 Ha/atom
total magnetic moment = 0.0 μB per formula unit
symmetry = No. 166
energy of formation from the pure elements = -0.103 eV/atom
theoretical density = 3.57 g/cm³

Cell and atoms, written as Quantum ESPRESSO input:
```
&SYSTEM
  ibrav = 0, nat = 20, ntyp = 3
/
ATOMIC_SPECIES
Na 22.99 Na.upf
In 114.82 In.upf
Pd 106.42 Pd.upf
ATOMIC_POSITIONS angstrom
Na -1.505 -2.189 5.970
Na 1.743 -3.177 5.439
Na -2.380 -5.587 6.078
Na 0.166 -1.107 3.083
Na -4.011 -3.350 3.925
Na -2.141 -2.178 1.194
Na 0.616 -6.495 5.590
Na 2.485 -5.323 2.860
Na -1.691 -7.566 3.702
Na 0.855 -3.086 0.707
Na -3.268 -5.495 1.346
Na -0.020 -6.484 0.815
In 2.027 -8.622 2.409
In -1.812 -5.074 -1.654
In 4.048 -2.359 3.134
In -0.763 -4.336 3.392
In -5.573 -6.314 3.651
In 0.286 -3.598 8.439
In -3.552 -0.051 4.376
Pd 0.000 0.000 0.000
CELL_PARAMETERS angstrom
-5.589 1.094 6.213
-2.745 -7.099 -3.620
6.808 -2.668 4.192
```

=====

CsRb2NbSe4: relaxed, GGA-PBE. Values from VASP.

E = -0.1549 Ha/atom
total magnetic moment = 0.0 μB per formula unit
symmetry = No. 74
theoretical density = 4.23 g/cm³

Cell and atoms, written as Quantum ESPRESSO input:
```
&SYSTEM
  ibrav = 0, nat = 16, ntyp = 4
/
ATOMIC_SPECIES
Cs 132.91 Cs.upf
Rb 85.47 Rb.upf
Nb 92.91 Nb.upf
Se 78.96 Se.upf
ATOMIC_POSITIONS angstrom
Cs 3.873 -2.638 0.753
Cs -2.838 -5.032 4.794
Rb -3.166 -3.379 1.042
Rb -3.545 0.985 2.999
Rb -0.379 4.364 1.956
Rb 0.707 -6.017 1.795
Nb 0.328 -1.652 3.752
Nb -7.090 1.971 5.997
Se 5.260 -5.575 1.690
Se -2.172 -1.879 3.773
Se 2.828 -1.426 3.731
Se -4.604 2.269 5.813
Se 0.332 -0.801 6.380
Se 0.624 -4.160 4.876
Se 0.032 0.855 2.627
Se 0.324 -2.504 1.123
CELL_PARAMETERS angstrom
-6.331 -6.758 2.085
7.746 -5.276 1.506
-0.758 8.729 3.913
```

=====

NbZn2Sb2: relaxed, GGA-PBE. Values from VASP.

E = -0.1447 Ha/atom
total magnetic moment = 0.0 μB per formula unit
symmetry = No. 127
theoretical density = 7.40 g/cm³

Cell and atoms, written as Quantum ESPRESSO input:
```
&SYSTEM
  ibrav = 0, nat = 10, ntyp = 3
/
ATOMIC_SPECIES
Sb 121.76 Sb.upf
Nb 92.91 Nb.upf
Zn 65.41 Zn.upf
ATOMIC_POSITIONS angstrom
Sb 2.568 6.224 0.000
Sb 6.224 4.745 0.000
Sb 4.745 1.088 0.000
Sb 1.088 2.568 0.000
Nb 0.000 0.000 0.000
Nb 3.656 3.656 0.000
Zn 1.171 4.828 1.960
Zn 4.828 6.142 1.960
Zn 6.142 2.485 1.960
Zn 2.485 1.171 1.960
CELL_PARAMETERS angstrom
7.313 0.000 0.000
0.000 7.313 0.000
0.000 0.000 3.920
```

=====

SrZrBi3: relaxed, GGA-PBE. Values from VASP.

E = -0.1684 Ha/atom
total magnetic moment = 0.0 μB per formula unit
symmetry = No. 221
energy of formation from the pure elements = -0.208 eV/atom
theoretical density = 7.13 g/cm³
distance to the lowest polymorph of the same formula = 256.0 meV per atom

Cell and atoms, written as Quantum ESPRESSO input:
```
&SYSTEM
  ibrav = 0, nat = 5, ntyp = 3
/
ATOMIC_SPECIES
Sr 87.62 Sr.upf
Bi 208.98 Bi.upf
Zr 91.22 Zr.upf
ATOMIC_POSITIONS angstrom
Sr -0.523 -4.666 -1.589
Bi 2.133 -1.877 -0.344
Bi -1.568 -2.018 1.288
Bi -1.088 -0.771 -2.532
Zr 0.000 0.000 0.000
CELL_PARAMETERS angstrom
-2.175 -1.542 -5.065
4.266 -3.754 -0.689
-3.136 -4.036 2.576
```

=====

Ba2LiPtO4: relaxed, GGA-PBE. Values from VASP.

E = -0.2032 Ha/atom
total magnetic moment = 0.0 μB per formula unit
symmetry = No. 70
theoretical density = 6.42 g/cm³

Cell and atoms, written as Quantum ESPRESSO input:
```
&SYSTEM
  ibrav = 0, nat = 16, ntyp = 4
/
ATOMIC_SPECIES
Ba 137.33 Ba.upf
Li 6.94 Li.upf
Pt 195.08 Pt.upf
O 16.00 O.upf
ATOMIC_POSITIONS angstrom
Ba 3.283 -2.193 5.112
Ba -0.421 -1.752 5.599
Ba 2.000 -6.223 8.037
Ba -2.994 -4.341 4.731
Li -0.497 -5.282 6.384
Li 0.000 0.000 0.000
Pt 0.962 -4.877 4.411
Pt -1.459 -0.406 1.973
O -2.443 -5.197 1.787
O 4.405 -4.546 6.984
O 0.957 -8.414 9.991
O -1.988 -2.161 2.828
O -0.451 -6.299 4.682
O 0.879 -3.870 6.164
O -0.989 -7.027 7.189
O 1.491 -3.121 3.556
CELL_PARAMETERS angstrom
-2.918 -0.811 3.946
-2.398 -6.214 0.085
5.780 -3.134 6.765
```

=====

Pm4GaBiC: relaxed, GGA-PBE. Values from VASP.

E = -0.2018 Ha/atom
total magnetic moment = 0.0 μB per formula unit
symmetry = No. 63
energy of formation from the pure elements = -0.473 eV/atom
theoretical density = 7.29 g/cm³

Cell and atoms, written as Quantum ESPRESSO input:
```
&SYSTEM
  ibrav = 0, nat = 14, ntyp = 4
/
ATOMIC_SPECIES
Pm 145.00 Pm.upf
Ga 69.72 Ga.upf
Bi 208.98 Bi.upf
C 12.01 C.upf
ATOMIC_POSITIONS angstrom
Pm -4.706 1.523 6.027
Pm -0.274 1.565 8.261
Pm 1.709 -1.847 4.807
Pm -2.724 -1.889 2.573
Pm -1.499 -0.162 5.417
Pm -0.076 3.601 2.515
Pm -2.970 1.641 2.791
Pm 1.396 1.798 5.142
Ga 0.019 0.332 2.562
Ga -3.016 -0.657 8.272
Bi -1.339 -3.543 5.350
Bi -1.658 3.219 5.484
C 0.695 -0.102 6.574
C -3.692 -0.222 4.260
CELL_PARAMETERS angstrom
-5.788 -3.920 0.551
2.943 -3.607 5.252
-0.151 7.203 5.031
```

=====

Nd4SmCu4: relaxed, GGA-PBE. Values from VASP.

E = -0.1641 Ha/atom
total magnetic moment = 0.0 μB per formula unit
symmetry = No. 86
energy of formation from the pure elements = -0.002 eV/atom
theoretical density = 6.91 g/cm³

Cell and atoms, written as Quantum ESPRESSO input:
```
&SYSTEM
  ibrav = 0, nat = 18, ntyp = 3
/
ATOMIC_SPECIES
Nd 144.24 Nd.upf
Sm 150.36 Sm.upf
Cu 63.55 Cu.upf
ATOMIC_POSITIONS angstrom
Nd 2.576 2.530 7.808
Nd 5.787 5.050 6.816
Nd 2.576 6.042 0.764
Nd 0.636 1.756 5.050
Nd 3.848 7.808 6.042
Nd 0.636 6.816 3.522
Nd 5.787 3.522 1.756
Nd 3.848 0.764 2.530
Sm 0.000 0.000 0.000
Sm 3.212 4.286 4.286
Cu 4.179 6.597 3.221
Cu 4.179 1.975 5.351
Cu 0.967 7.507 6.261
Cu 5.456 2.311 7.507
Cu 5.456 6.261 1.065
Cu 2.244 3.221 1.975
Cu 2.244 5.351 6.597
Cu 0.967 1.065 2.311
CELL_PARAMETERS angstrom
6.424 0.000 0.000
0.000 8.572 0.000
0.000 0.000 8.572
```

=====

BaPr2NdTl4: relaxed, GGA-PBE. Values from VASP.

E = -0.1304 Ha/atom
total magnetic moment = 0.0 μB per formula unit
symmetry = No. 166
energy of formation from the pure elements = -0.334 eV/atom
theoretical density = 8.86 g/cm³

Cell and atoms, written as Quantum ESPRESSO input:
```
&SYSTEM
  ibrav = 0, nat = 8, ntyp = 4
/
ATOMIC_SPECIES
Ba 137.33 Ba.upf
Pr 140.91 Pr.upf
Nd 144.24 Nd.upf
Tl 204.38 Tl.upf
ATOMIC_POSITIONS angstrom
Ba 0.000 0.000 0.000
Pr 8.500 4.908 7.018
Pr 2.833 1.636 2.283
Nd 5.667 3.272 4.650
Tl 5.667 3.272 7.962
Tl 8.500 4.908 3.602
Tl 2.833 1.636 5.699
Tl 5.667 3.272 1.338
CELL_PARAMETERS angstrom
5.667 0.000 0.000
2.833 4.908 0.000
2.833 1.636 9.301
```

=====

P3RhS: relaxed, GGA-PBE. Values from VASP.

E = -0.1669 Ha/atom
total magnetic moment = 0.0 μB per formula unit
symmetry = No. 221
theoretical density = 4.60 g/cm³
distance to the lowest polymorph of the same formula = 164.3 meV per atom

Cell and atoms, written as Quantum ESPRESSO input:
```
&SYSTEM
  ibrav = 0, nat = 5, ntyp = 3
/
ATOMIC_SPECIES
P 30.97 P.upf
S 32.06 S.upf
Rh 102.91 Rh.upf
ATOMIC_POSITIONS angstrom
P 0.000 2.175 0.000
P 0.000 0.000 2.175
P 2.175 0.000 0.000
S 0.000 0.000 0.000
Rh 2.175 2.175 2.175
CELL_PARAMETERS angstrom
4.349 0.000 0.000
0.000 4.349 0.000
0.000 0.000 4.349
```

=====

PaHRh: relaxed, GGA-PBE. Values from VASP.

E = -0.2592 Ha/atom
total magnetic moment = 0.0 μB per formula unit
symmetry = No. 156
theoretical density = 12.33 g/cm³
distance to the lowest polymorph of the same formula = 308.1 meV per atom

Cell and atoms, written as Quantum ESPRESSO input:
```
&SYSTEM
  ibrav = 0, nat = 3, ntyp = 3
/
ATOMIC_SPECIES
H 1.01 H.upf
Pa 231.04 Pa.upf
Rh 102.91 Rh.upf
ATOMIC_POSITIONS angstrom
H 0.623 1.851 1.069
Pa 2.539 0.000 2.137
Rh 0.638 0.000 0.000
CELL_PARAMETERS angstrom
3.800 0.000 0.000
0.000 3.702 0.000
0.000 -1.851 3.206
```